(1)
{"formula": "RbTiMn2", "functional": "PBE", "state": "optimized geometry", "volume_a3_per_atom": 31.2, "magnetic_moment_mub_per_fu": 5.21, "crystal_system": "tetragonal", "e_form_ev_per_atom": 1.214, "spacegroup": "I4_1/amd (141)", "cell": [[5.592, 0.000, 0.000], [0.000, 5.592, 0.000], [2.796, 2.796, 7.969]], "species": ["Ti", "Mn", "Mn", "Ti", "Mn", "Rb", "Rb", "Mn"], "fractional_positions": [[0.250, 0.750, 0.500], [0.375, 0.125, 0.250], [0.375, 0.625, 0.250], [0.500, 0.500, 0.000], [0.875, 0.625, 0.750], [0.750, 0.250, 0.500], [0.000, 0.000, 0.000], [0.375, 0.625, 0.750]]}

(2)
{"formula": "RbTiMn2", "functional": "PBE", "state": "optimized geometry", "volume_a3_per_atom": 22.5, "magnetic_moment_mub_per_fu": 5.44, "crystal_system": "cubic", "e_form_ev_per_atom": 1.259, "spacegroup": "Fm-3m (225)", "cell": [[0.000, 3.559, 3.559], [3.559, 0.000, 3.559], [3.559, 3.559, 0.000]], "species": ["Mn", "Ti", "Mn", "Rb"], "fractional_positions": [[0.750, 0.750, 0.750], [0.000, 0.000, 0.000], [0.250, 0.250, 0.250], [0.500, 0.500, 0.500]]}